Entry from Alexandria via LeMat-Bulk: a relaxed RbSn3Pd crystal (PBE).

As for the space group: Cm. Its total magnetic moment is 0.00 μB/f.u. As for the polymorph energy (0 for the lowest one): 0 meV per atom.

Cell lengths 4.965, 4.965, 6.747 Å; angles 111.49, 111.49, 90.00 degrees
Positions (direct):
Rb 0.000 0.000 0.000
Sn 0.244 0.745 0.488
Sn 0.407 0.407 0.811
Sn 0.745 0.244 0.488
Pd 0.640 0.640 0.282



Entry from Alexandria via LeMat-Bulk: a relaxed CrCdPt2 crystal (PBE).

For the total DFT energy (no corrections), the calculation gives -5.77 eV per atom. As for the space group: Cm. Its total magnetic moment is 3.52 μB/f.u.

Cell lengths 4.980, 4.980, 4.839 Å; angles 100.02, 100.02, 33.85 degrees
Positions (direct):
Cr 0.000 0.000 0.000
Cd 0.240 0.240 0.695
Pt 0.489 0.489 0.475
Pt 0.740 0.740 0.189



Entry from Alexandria via LeMat-Bulk: a relaxed KFe2Hg crystal (PBE).

For the total DFT energy (no corrections), the calculation gives -3.83 eV per atom. As for the space group: Pmmm. Its total magnetic moment is 5.57 μB/f.u.

Cell lengths 2.910, 4.341, 7.270 Å; angles 90.00, 90.00, 90.00 degrees
Positions (direct):
K 0.000 0.000 0.000
Fe 0.500 0.500 0.348
Fe 0.500 0.500 0.652
Hg 0.000 0.000 0.500



Entry from Alexandria via LeMat-Bulk: a relaxed CePm12Ge7 crystal (PBE).

For the total DFT energy (no corrections), the calculation gives -5.19 eV per atom. As for the space group: R-3. Its total magnetic moment is 2.57 μB/f.u.

Cell lengths 9.307, 9.307, 9.307 Å; angles 108.02, 108.02, 108.02 degrees
Positions (direct):
Ce 0.000 0.000 0.000
Pm 0.069 0.695 0.229
Pm 0.156 0.392 0.469
Pm 0.229 0.069 0.695
Pm 0.305 0.771 0.931
Pm 0.392 0.469 0.156
Pm 0.469 0.156 0.392
Pm 0.531 0.844 0.608
Pm 0.608 0.531 0.844
Pm 0.695 0.229 0.069
Pm 0.771 0.931 0.305
Pm 0.844 0.608 0.531
Pm 0.931 0.305 0.771
Ge 0.045 0.354 0.120
Ge 0.120 0.045 0.354
Ge 0.354 0.120 0.045
Ge 0.500 0.500 0.500
Ge 0.646 0.880 0.955
Ge 0.880 0.955 0.646
Ge 0.955 0.646 0.880



Entry from Alexandria via LeMat-Bulk: a relaxed VGe2Ru crystal (PBE).

As for the space group: Fm-3m. Its total magnetic moment is 2.56 μB/f.u. As for the polymorph energy (0 for the lowest one): 0 meV per atom.

Cell lengths 4.347, 4.347, 4.347 Å; angles 60.00, 60.00, 60.00 degrees
Positions (direct):
V 0.000 0.000 0.000
Ge 0.250 0.250 0.250
Ge 0.750 0.750 0.750
Ru 0.500 0.500 0.500



Entry from Alexandria via LeMat-Bulk: a relaxed Pt3Au crystal (PBE).

For the total DFT energy (no corrections), the calculation gives -5.28 eV per atom. As for the space group: P-6m2. Its total magnetic moment is 0.00 μB/f.u.

Cell lengths 2.787, 2.787, 9.713 Å; angles 90.00, 90.00, 120.00 degrees
Positions (direct):
Pt 0.000 0.000 0.000
Pt 0.333 0.667 0.245
Pt 0.333 0.667 0.755
Au 0.000 0.000 0.500